A relaxed Mg2Ga2Re crystal, computed with PBE.

Cell lengths 3.5283, 3.5283, 15.4668 Å; angles 90.00, 90.00, 90.00 degrees
With the nearest neighbours (Å) after each atom.
Space group I4/mmm (No. 139)
Unique sites:
Mg  0.0000  0.0000  0.0928  1 Mg 2.87, 4 Re 2.88, 4 Ga 3.00
Ga  0.0000  0.5000  0.2500  4 Ga 2.49
Re  0.0000  0.0000  0.5000  8 Mg 2.88

Summary:
Formation energy (eV per atom): 0.59
Energy relative to the lowest polymorph listed for this composition (meV/atom): 413